A relaxed structure of Ac2La12Au7, computed with PBE.

Cell: 12.4833 12.4833 5.0083 Å, 90.00 90.00 120.00°
Element x y z (fractional)
Ac: 0.0000 0.0000 0.0000
Ac: 0.3333 0.6667 0.5000
La: 0.0758 0.2789 0.5000
La: 0.0906 0.6739 0.0000
La: 0.2031 0.9242 0.5000
La: 0.3261 0.4167 0.0000
La: 0.3900 0.1634 0.0000
La: 0.5435 0.4264 0.5000
La: 0.5736 0.1171 0.5000
La: 0.5833 0.9094 0.0000
La: 0.7211 0.7969 0.5000
La: 0.7734 0.6100 0.0000
La: 0.8366 0.2266 0.0000
La: 0.8829 0.4565 0.5000
Au: 0.1018 0.4447 0.0000
Au: 0.2658 0.2000 0.5000
Au: 0.3429 0.8982 0.0000
Au: 0.5553 0.6571 0.0000
Au: 0.6667 0.3333 0.0000
Au: 0.8000 0.0658 0.5000
Au: 0.9342 0.7342 0.5000

E_form	-0.516	eV per atom
crystal system	hexagonal